An optimized crystal structure of RbNa2AgGe. Source: Alexandria via LeMat-Bulk, functional GGA-PBE.

The density of states at the Fermi level is 0.207 states/eV/atom. As for the energy relative to the lowest polymorph listed for this composition: 0.0 meV per atom. Its formation energy is -0.046 eV/f.u. Its crystal system is tetragonal. For the total magnetic moment, the calculation gives 0.00 Bohr magnetons per cell. The calculation puts the calculated total energy at -11.12 eV for the cell shown. The value obtained for the mass density is 3.09 Mg/m³.

It has space group P4/mmm (No. 123), with a = 5.746 Å, b = 5.746 Å, c = 5.073 Å, α = 90.00°, β = 90.00° and γ = 90.00°. The inequivalent atoms are Rb at (0.000, 0.000, 0.000), Na at (0.000, 0.500, 0.500), Ag at (0.500, 0.500, 0.000) and Ge at (0.500, 0.500, 0.500).